Record 1
! PBE CaZr2Ru, optimized geometry; values from VASP
&SYSTEM
  ibrav = 0, nat = 8, ntyp = 3
/
ATOMIC_SPECIES
Ca 40.08 Ca.upf
Ru 101.07 Ru.upf
Zr 91.22 Zr.upf
ATOMIC_POSITIONS crystal
Ca 0.500 0.500 0.000
Ca 0.250 0.750 0.500
Ru 0.000 0.000 0.000
Ru 0.750 0.250 0.500
Zr 0.691 0.125 0.250
Zr 0.375 0.309 0.750
Zr 0.059 0.625 0.250
Zr 0.875 0.941 0.750
CELL_PARAMETERS angstrom
-3.254 5.480 4.771
0.978 -4.850 6.238
1.624 1.518 6.007
! Energy relative to the elements, eV/atom: 0.196
! Symmetry: No. 122
! Total DFT energy (no corrections), eV per atom: -6.898
! E above lowest polymorph, kJ/mol of formula units: 112
! Calculated volume, Å³ per cell: 193.59



Record 2
! PBE CaZrRu2, optimized geometry; values from VASP
&SYSTEM
  ibrav = 0, nat = 4, ntyp = 3
/
ATOMIC_SPECIES
Ca 40.08 Ca.upf
Zr 91.22 Zr.upf
Ru 101.07 Ru.upf
ATOMIC_POSITIONS crystal
Ca 0.500 0.000 0.500
Zr 0.500 0.500 0.000
Ru 0.000 0.500 0.500
Ru 0.000 0.000 0.000
CELL_PARAMETERS angstrom
3.311 0.000 0.000
0.000 4.696 0.000
0.000 0.000 4.696
! Energy relative to the elements, eV/atom: -0.033
! Symmetry: No. 123
! Total DFT energy (no corrections), eV per atom: -7.309
! E above lowest polymorph, kJ/mol of formula units: 48
! Calculated volume, Å³ per cell: 73.01



Record 3
! PBE CaZr2Ru, optimized geometry; values from VASP
&SYSTEM
  ibrav = 0, nat = 4, ntyp = 3
/
ATOMIC_SPECIES
Zr 91.22 Zr.upf
Ru 101.07 Ru.upf
Ca 40.08 Ca.upf
ATOMIC_POSITIONS crystal
Zr 0.478 0.478 0.478
Zr 0.022 0.022 0.022
Ru 0.750 0.750 0.750
Ca 0.250 0.250 0.250
CELL_PARAMETERS angstrom
-3.096 -2.943 -8.827
-5.338 -4.615 -6.810
-5.929 -1.336 -7.696
! Energy relative to the elements, eV/atom: 0.071
! Symmetry: No. 166
! Total DFT energy (no corrections), eV per atom: -7.023
! E above lowest polymorph, kJ/mol of formula units: 64
! Calculated volume, Å³ per cell: 98.87